A plane-wave DFT calculation with PBE was carried out for a relaxed Tl3HgI5 crystal.

a = 9.1420 Å, b = 9.1420 Å, c = 10.9075 Å
α = 114.78°, β = 114.78°, γ = 90.00°
Last column: nearest neighbours and their distance in Å.
Positions (direct):
I (0.5000, 0.5000, 0.0000)  4 Tl 3.49
I (0.3161, 0.8161, 0.2935)  1 Hg 2.84
I (0.5226, 0.6839, 0.7065)  1 Hg 2.84
I (0.6839, 0.1839, 0.7065)  1 Hg 2.84
I (0.4774, 0.3161, 0.2935)  1 Hg 2.84
I (0.1839, 0.0226, 0.7065)  1 Hg 2.84
I (0.8161, 0.9774, 0.2935)  1 Hg 2.84
I (0.0000, 0.0000, 0.0000)  4 Tl 3.49
I (0.9774, 0.4774, 0.2935)  1 Hg 2.84
I (0.0226, 0.5226, 0.7065)  1 Hg 2.84
Tl (0.6481, 0.1481, 0.0000)  8 I 3.49-3.89, 1 Tl 3.83
Tl (0.8519, 0.6481, 0.0000)  8 I 3.49-3.89, 1 Tl 3.83
Tl (0.7500, 0.7500, 0.5000)  8 I 3.85
Tl (0.2500, 0.2500, 0.5000)  8 I 3.85
Tl (0.3519, 0.8519, 0.0000)  8 I 3.49-3.89, 1 Tl 3.83
Tl (0.1481, 0.3519, 0.0000)  8 I 3.49-3.89, 1 Tl 3.83
Hg (0.7500, 0.2500, 0.5000)  4 I 2.84
Hg (0.2500, 0.7500, 0.5000)  4 I 2.84

Values from the calculation:
The value obtained for the electronic total energy is -2.184 eV/atom. The formation energy without anion corrections comes out at -0.50 eV per atom.